{"formula": "Sc4ZnCu2Ni", "functional": "PBE", "state": "relaxed", "lattice": [[2.307, 1.332, 7.514], [-2.307, 1.332, 7.514], [0.000, -2.663, 7.514]], "species": ["Sc", "Sc", "Sc", "Sc", "Zn", "Cu", "Cu", "Ni"], "frac_coords": [[0.120, 0.120, 0.120], [0.371, 0.371, 0.371], [0.629, 0.629, 0.629], [0.880, 0.880, 0.880], [0.500, 0.500, 0.500], [0.246, 0.246, 0.246], [0.754, 0.754, 0.754], [0.000, 0.000, 0.000]], "dos_ef_per_ev_cell": 4.76, "sg": "R-3m", "vol_a3_per_cell": 138.49, "density_g_cm3": 5.2, "e_form_ev_per_atom": -0.36}